# 1
Material: UIr2Os
Method: DFT, GGA-PBE
State: relaxed

a = 4.0054 Å, b = 4.0054 Å, c = 4.1025 Å
α = 90.00°, β = 90.00°, γ = 90.00°
Closest atoms and distances in Å follow each position.
Space group P4/mmm (No. 123)
Asymmetric unit:
U 0.0000 0.0000 0.0000  4 Os 2.83, 8 Ir 2.87
Ir 0.0000 0.5000 0.5000  4 Ir 2.83, 4 Os 2.87, 4 U 2.87
Os 0.5000 0.5000 0.0000  4 U 2.83, 8 Ir 2.87

Output
- spin magnetization (Bohr magnetons per cell) = 0.00
- DOS at the Fermi energy (states/eV/cell) = 2.3
- polymorph energy (0 for the lowest one) (eV per atom) = 0.000
- raw total energy (eV for the cell shown) = -42.31

=====

# 2
Material: Tb3U4N8
Method: DFT, GGA-PBE
State: relaxed

a = 9.7603 Å, b = 9.8086 Å, c = 6.8926 Å
α = 90.00°, β = 134.66°, γ = 90.00°
Closest atoms and distances in Å follow each position.
Space group C2/m (No. 12)
Asymmetric unit:
Tb 0.0000 0.0000 0.0000  6 N 2.49-2.59
Tb 0.2500 0.2500 0.0000  6 N 2.44-2.47
U 0.0000 0.0000 0.5000  6 N 2.21-2.26
U 0.0000 0.5000 0.0000  6 N 2.31-2.42
U 0.2500 0.2500 0.5000  6 N 2.45-2.46
N 0.0000 0.2283 0.5000  3 U 2.24-2.45, 2 Tb 2.46
N 0.0000 0.2536 0.0000  3 U 2.42-2.45, 3 Tb 2.44-2.49
N 0.2369 0.0000 0.5116  4 U 2.26-2.46, 1 Tb 2.51
N 0.2394 0.0000 0.9492  2 U 2.21-2.31, 2 Tb 2.47

Output
- spin magnetization (Bohr magnetons per cell) = 12.52
- DOS at the Fermi energy (states/eV/cell) = 29.4
- raw total energy (eV for the cell shown) = -291.51

=====

# 3
Material: MnSiNiAu
Method: DFT, GGA-PBE
State: relaxed

a = 8.5516 Å, b = 3.5018 Å, c = 4.4081 Å
α = 90.00°, β = 119.94°, γ = 90.00°
Closest atoms and distances in Å follow each position.
Space group Cm (No. 8)
Asymmetric unit:
Mn 0.0000 0.0000 0.0000  3 Si 2.44-2.60, 1 Ni 2.69
Si 0.2903 0.0000 0.9490  2 Ni 2.31, 2 Mn 2.44, 3 Au 2.50-2.58
Ni 0.2874 0.5000 0.2881  2 Si 2.31
Au 0.0726 0.5000 0.5660  3 Si 2.50-2.58, 4 Ni 2.67-2.77

Output
- spin magnetization (Bohr magnetons per cell) = 6.29
- DOS at the Fermi energy (states/eV/cell) = 4.7
- polymorph energy (0 for the lowest one) (eV per atom) = 0.163
- raw total energy (eV for the cell shown) = -47.63

=====

# 4
Material: BaZr2Rh
Method: DFT, GGA-PBE
State: relaxed

a = 7.2830 Å, b = 7.2830 Å, c = 7.2830 Å
α = 90.00°, β = 90.00°, γ = 90.00°
Closest atoms and distances in Å follow each position.
Space group F-43m (No. 216)
Asymmetric unit:
Ba 0.0000 0.0000 0.0000  4 Zr 3.15, 4 Rh 3.15
Zr 0.0000 0.0000 0.5000  4 Rh 3.15, 4 Zr 3.15
Zr 0.2500 0.2500 0.7500  4 Zr 3.15, 4 Ba 3.15
Rh 0.2500 0.2500 0.2500  4 Zr 3.15, 4 Ba 3.15

Output
- spin magnetization (Bohr magnetons per cell) = 9.79
- DOS at the Fermi energy (states/eV/cell) = 23.8
- polymorph energy (0 for the lowest one) (eV per atom) = 0.575
- raw total energy (eV for the cell shown) = -97.80

=====

# 5
Material: AcAlCr2S6
Method: DFT, GGA-PBE
State: relaxed

a = 6.4313 Å, b = 6.4313 Å, c = 16.4982 Å
α = 90.00°, β = 90.00°, γ = 120.00°
Closest atoms and distances in Å follow each position.
Space group R3 (No. 146, hexagonal axes)
Asymmetric unit:
Ac 0.0000 0.0000 0.0000  3 S 2.85
Al 0.0000 0.0000 0.5455  6 S 2.41-2.50
Cr 0.0000 0.0000 0.2345  6 S 2.35-2.48
Cr 0.0000 0.0000 0.7470  6 S 2.40-2.48
S 0.0243 0.3392 0.8163  2 Cr 2.40-2.48, 1 Al 2.50
S 0.1153 0.7631 0.3097  2 Cr 2.35-2.48, 1 Al 2.41

Output
- spin magnetization (Bohr magnetons per cell) = 18.00
- DOS at the Fermi energy (states/eV/cell) = 0.5
- raw total energy (eV for the cell shown) = -186.85

=====

# 6
Material: Dy3InGa3
Method: DFT, GGA-PBE
State: relaxed

a = 8.9657 Å, b = 8.9657 Å, c = 4.7620 Å
α = 90.00°, β = 90.00°, γ = 120.00°
Closest atoms and distances in Å follow each position.
Space group P6_3/m (No. 176)
Asymmetric unit:
Dy 0.0970 0.4291 0.2500  4 Ga 2.98-3.08, 2 In 3.19
In 0.3333 0.6667 0.7500  9 Dy 3.19-3.51
Ga 0.0394 0.2006 0.7500  6 Ga 2.86-2.90, 4 Dy 2.98-3.08

Output
- spin magnetization (Bohr magnetons per cell) = 0.00
- DOS at the Fermi energy (states/eV/cell) = 9.0
- polymorph energy (0 for the lowest one) (eV per atom) = 0.115
- raw total energy (eV for the cell shown) = -57.71

=====

# 7
Material: YBeOs2
Method: DFT, GGA-PBE
State: relaxed

a = 3.0349 Å, b = 3.0349 Å, c = 6.7939 Å
α = 90.00°, β = 90.00°, γ = 90.00°
Closest atoms and distances in Å follow each position.
Space group P4/mmm (No. 123)
Asymmetric unit:
Y 0.0000 0.0000 0.0000  4 Y 3.03, 8 Os 3.04, 2 Be 3.40
Be 0.0000 0.0000 0.5000  8 Os 2.48
Os 0.5000 0.5000 0.3166  4 Be 2.48, 1 Os 2.49

Output
- spin magnetization (Bohr magnetons per cell) = 0.00
- DOS at the Fermi energy (states/eV/cell) = 4.2
- raw total energy (eV for the cell shown) = -31.93

=====

# 8
Material: TbPd7Au4
Method: DFT, GGA-PBE
State: relaxed

a = 4.9791 Å, b = 5.7991 Å, c = 7.6573 Å
α = 77.90°, β = 71.13°, γ = 89.79°
Closest atoms and distances in Å follow each position.
Space group P-1 (No. 2)
Asymmetric unit:
Tb 0.0000 0.0000 0.0000  10 Pd 2.85-2.90, 2 Au 2.96
Pd 0.0000 0.5000 0.0000  4 Au 2.85-2.87, 6 Pd 2.86-2.90, 2 Tb 2.90
Pd 0.1723 0.9188 0.3317  5 Pd 2.86-2.94, 6 Au 2.86-2.93, 1 Tb 2.88
Pd 0.3317 0.3314 0.6687  1 Tb 2.85, 6 Au 2.85-2.93, 5 Pd 2.86-2.90
Pd 0.5004 0.2544 0.9994  3 Au 2.83-2.90, 7 Pd 2.85-2.95, 2 Tb 2.89-2.90
Au 0.1650 0.4218 0.3303  9 Pd 2.83-2.92, 3 Au 2.87-2.91
Au 0.3392 0.8280 0.6635  3 Au 2.85-2.89, 8 Pd 2.86-2.93, 1 Tb 2.96

Output
- spin magnetization (Bohr magnetons per cell) = 0.00
- DOS at the Fermi energy (states/eV/cell) = 4.6
- polymorph energy (0 for the lowest one) (eV per atom) = 0.000
- raw total energy (eV for the cell shown) = -58.20

=====

# 9
Material: K6Rb4Hg
Method: DFT, GGA-PBE
State: relaxed

a = 11.5348 Å, b = 11.5348 Å, c = 11.9443 Å
α = 90.00°, β = 90.00°, γ = 90.00°
Closest atoms and distances in Å follow each position.
Space group P4/mnc (No. 128)
Asymmetric unit:
K 0.0000 0.0000 0.1924  1 Hg 3.67
K 0.1326 0.2971 0.5000  1 Hg 3.75
Rb 0.1409 0.6409 0.2500  6 K 4.36-4.50, 1 Rb 4.60
Hg 0.0000 0.0000 0.5000  6 K 3.67-3.75

Output
- spin magnetization (Bohr magnetons per cell) = 0.00
- DOS at the Fermi energy (states/eV/cell) = 16.1
- raw total energy (eV for the cell shown) = -21.52

=====

# 10
Material: Ho6TmMg
Method: DFT, GGA-PBE
State: relaxed

a = 11.5936 Å, b = 5.2873 Å, c = 8.5040 Å
α = 90.00°, β = 112.57°, γ = 90.00°
Closest atoms and distances in Å follow each position.
Space group C2/m (No. 12)
Asymmetric unit:
Ho 0.0085 0.0000 0.2276  2 Mg 3.26, 6 Ho 3.48-3.64, 2 Tm 3.54
Ho 0.2244 0.5000 0.8808  1 Mg 3.13, 5 Ho 3.24-3.48, 1 Tm 3.28
Ho 0.2497 0.0000 0.6419  1 Mg 3.30, 6 Ho 3.41-3.58, 1 Tm 3.54
Tm 0.0000 0.5000 0.5000  8 Ho 3.28-3.54
Mg 0.0000 0.5000 0.0000  8 Ho 3.13-3.30

Output
- spin magnetization (Bohr magnetons per cell) = 0.00
- DOS at the Fermi energy (states/eV/cell) = 22.7
- polymorph energy (0 for the lowest one) (eV per atom) = 0.000
- raw total energy (eV for the cell shown) = -66.46

=====

# 11
Material: Ho4PtSe5
Method: DFT, GGA-PBE
State: relaxed

a = 17.7302 Å, b = 4.0662 Å, c = 8.3063 Å
α = 90.00°, β = 105.82°, γ = 90.00°
Closest atoms and distances in Å follow each position.
Space group C2/m (No. 12)
Asymmetric unit:
Ho 0.0029 0.0000 0.2610  4 Se 2.73-2.85, 2 Pt 2.96
Ho 0.1774 0.5000 0.1165  5 Se 2.78-2.89, 1 Pt 3.03
Pt 0.0000 0.5000 0.0000  6 Ho 2.96-3.03
Se 0.0000 0.5000 0.5000  4 Ho 2.85
Se 0.1616 0.0000 0.8614  4 Ho 2.81-2.89
Se 0.1628 0.0000 0.3338  3 Ho 2.73-2.78

Output
- spin magnetization (Bohr magnetons per cell) = 0.00
- raw total energy (eV for the cell shown) = -115.04

=====

# 12
Material: CeTmMoN3
Method: DFT, GGA-PBE
State: relaxed

a = 7.2510 Å, b = 3.2699 Å, c = 7.9289 Å
α = 90.00°, β = 95.78°, γ = 90.00°
Closest atoms and distances in Å follow each position.
Space group P2_1/m (No. 11)
Asymmetric unit:
Ce 0.1596 0.2500 0.1795  7 N 2.43-2.66
Tm 0.3695 0.7500 0.8528  5 N 2.19-2.38
Mo 0.1138 0.2500 0.5799  4 N 2.07-2.13
N 0.1305 0.2500 0.8460  1 Mo 2.10
N 0.1716 0.7500 0.4211  3 Mo 2.07-2.13
N 0.3972 0.7500 0.1308  3 Tm 2.19-2.35, 2 Ce 2.43

Output
- spin magnetization (Bohr magnetons per cell) = 0.00
- DOS at the Fermi energy (states/eV/cell) = 6.4
- raw total energy (eV for the cell shown) = -104.88